Record 1
{
  "formula": "CsCa2AgI7",
  "functional": "PBE-GGA",
  "state": "optimized geometry",
  "cell": [[6.173, 0.000, 0.000], [0.000, 6.173, 0.000], [-3.087, -3.087, 12.615]],
  "species": ["Cs", "Ca", "Ca", "Ag", "I", "I", "I", "I", "I", "I", "I"],
  "frac_coords": [[0.500, 0.500, 0.000], [0.875, 0.875, 0.750], [0.125, 0.125, 0.250], [0.250, 0.750, 0.500], [0.136, 0.636, 0.271], [0.000, 0.000, 0.000], [0.364, 0.864, 0.729], [0.752, 0.752, 0.505], [0.608, 0.108, 0.216], [0.248, 0.248, 0.495], [0.892, 0.392, 0.784]],
  "formation_energy_uncorrected_ev_per_atom": -1.129,
  "dft_energy_ev_per_cell": -30.98,
  "n_ef_per_ev_atom": 0.76
}

---

Record 2
{
  "formula": "KSmHg2",
  "functional": "PBE-GGA",
  "state": "optimized geometry",
  "cell": [[-1.325, -0.203, -3.880], [1.569, -2.799, -2.561], [-6.589, -7.116, 0.451]],
  "species": ["K", "Hg", "Hg", "Sm"],
  "frac_coords": [[0.500, 0.500, 0.500], [0.739, 0.739, 0.783], [0.261, 0.261, 0.217], [0.000, 0.000, 0.000]],
  "ef_ev_per_fu": -0.7,
  "dft_energy_ev_per_cell": -7.13,
  "n_ef_per_ev_atom": 0.85,
  "e_above_lowest_polymorph_mev_per_atom": 117
}